Record 1
DFT (GGA-PBE) results for a geometry-optimized YCdIr2 structure.

Lattice parameters (Å, degrees): 8.9798 8.9798 8.9798 20.29 20.29 20.29
Element x y z (fractional)
Y 0.0000 0.0000 0.0000
Cd 0.5000 0.5000 0.5000
Ir 0.2505 0.2505 0.2505
Ir 0.7495 0.7495 0.7495

E_form	66	meV per atom

---

Record 2
DFT (GGA-PBE) results for a geometry-optimized RbNiI6 structure.

Lattice parameters (Å, degrees): 7.7920 7.7920 7.7920 61.86 61.86 61.86
Element x y z (fractional)
Rb 0.0000 0.0000 0.0000
Ni 0.5000 0.5000 0.5000
I 0.1089 0.5783 0.5783
I 0.4217 0.4217 0.8911
I 0.4217 0.8911 0.4217
I 0.5783 0.1089 0.5783
I 0.5783 0.5783 0.1089
I 0.8911 0.4217 0.4217

DFT total energy	-2.3117	eV per atom

---

Record 3
DFT (GGA-PBE) results for a geometry-optimized Pu2Nb2Ge2H structure.

Lattice parameters (Å, degrees): 8.4821 8.4821 8.4821 152.41 152.41 39.41
Element x y z (fractional)
Pu 0.1823 0.1823 0.0000
Pu 0.8177 0.8177 0.0000
Nb 0.0000 0.5000 0.5000
Nb 0.5000 0.0000 0.5000
Ge 0.3781 0.3781 0.0000
Ge 0.6219 0.6219 0.0000
H 0.0000 0.0000 0.0000

DFT total energy	-9.1674	eV per atom

---

Record 4
DFT (GGA-PBE) results for a geometry-optimized Pm8Nd2Sc3 structure.

Lattice parameters (Å, degrees): 8.8153 8.8153 5.9977 107.30 107.30 81.29
Element x y z (fractional)
Pm 0.0832 0.0832 0.2688
Pm 0.1118 0.5806 0.8522
Pm 0.3642 0.3642 0.3870
Pm 0.4194 0.8882 0.1478
Pm 0.5806 0.1118 0.8522
Pm 0.6358 0.6358 0.6130
Pm 0.8882 0.4194 0.1478
Pm 0.9168 0.9168 0.7312
Nd 0.1839 0.1839 0.8351
Nd 0.8161 0.8161 0.1649
Sc 0.2368 0.7632 0.5000
Sc 0.5000 0.5000 0.0000
Sc 0.7632 0.2368 0.5000

E_form	179	meV per atom

---

Record 5
DFT (GGA-PBE) results for a geometry-optimized LiCa3Nd2Te6 structure.

Lattice parameters (Å, degrees): 7.7577 7.7577 7.7865 99.62 99.62 119.97
Element x y z (fractional)
Li 0.0000 0.0000 0.0000
Ca 0.1696 0.8304 0.5000
Ca 0.5000 0.5000 0.5000
Ca 0.8304 0.1696 0.5000
Nd 0.3344 0.6656 0.0000
Nd 0.6656 0.3344 0.0000
Te 0.0819 0.4085 0.2467
Te 0.2437 0.2437 0.7504
Te 0.4085 0.0819 0.2467
Te 0.5915 0.9181 0.7533
Te 0.7563 0.7563 0.2496
Te 0.9181 0.5915 0.7533

DFT total energy	-4.5077	eV per atom

---

Record 6
DFT (GGA-PBE) results for a geometry-optimized TbPr3DyEr structure.

Lattice parameters (Å, degrees): 8.1131 8.1131 10.2576 90.00 90.00 143.14
Element x y z (fractional)
Tb 0.1645 0.8355 0.7500
Tb 0.8355 0.1645 0.2500
Pr 0.1654 0.8346 0.2500
Pr 0.3353 0.6647 0.0006
Pr 0.3353 0.6647 0.4994
Pr 0.6647 0.3353 0.5006
Pr 0.6647 0.3353 0.9994
Pr 0.8346 0.1654 0.7500
Dy 0.0000 0.0000 0.0000
Dy 0.0000 0.0000 0.5000
Er 0.4987 0.5013 0.2500
Er 0.5013 0.4987 0.7500

E_form	23	meV per atom

---

Record 7
DFT (GGA-PBE) results for a geometry-optimized NdLuScHg structure.

Lattice parameters (Å, degrees): 5.3395 5.3395 5.3395 60.00 60.00 60.00
Element x y z (fractional)
Nd 0.0000 0.0000 0.0000
Lu 0.5000 0.5000 0.5000
Sc 0.2500 0.2500 0.2500
Hg 0.7500 0.7500 0.7500

E_form	-66	meV per atom

---

Record 8
DFT (GGA-PBE) results for a geometry-optimized LaTiS2F structure.

Lattice parameters (Å, degrees): 5.5434 5.5434 4.4218 90.00 90.00 90.00
Element x y z (fractional)
La 0.0000 0.0000 0.0000
Ti 0.5000 0.5000 0.5000
S 0.0000 0.5000 0.0000
S 0.5000 0.0000 0.0000
F 0.0000 0.0000 0.5000

DFT total energy	-5.9060	eV per atom

---

Record 9
DFT (GGA-PBE) results for a geometry-optimized HoEr3Tm12 structure.

Lattice parameters (Å, degrees): 4.9306 4.9306 19.7188 90.00 90.00 90.00
Element x y z (fractional)
Ho 0.0000 0.0000 0.0000
Er 0.0000 0.0000 0.2501
Er 0.0000 0.0000 0.5000
Er 0.0000 0.0000 0.7499
Tm 0.0000 0.5000 0.1252
Tm 0.0000 0.5000 0.3751
Tm 0.0000 0.5000 0.6249
Tm 0.0000 0.5000 0.8748
Tm 0.5000 0.0000 0.1252
Tm 0.5000 0.0000 0.3751
Tm 0.5000 0.0000 0.6249
Tm 0.5000 0.0000 0.8748
Tm 0.5000 0.5000 0.0000
Tm 0.5000 0.5000 0.2502
Tm 0.5000 0.5000 0.5000
Tm 0.5000 0.5000 0.7498

E_form	26	meV per atom

---

Record 10
DFT (GGA-PBE) results for a geometry-optimized Si2TeP structure.

Lattice parameters (Å, degrees): 5.3136 5.3136 7.3116 124.22 124.22 35.76
Element x y z (fractional)
Si 0.1378 0.1378 0.4478
Si 0.8622 0.8622 0.5522
Te 0.0000 0.0000 0.0000
P 0.5000 0.5000 0.5000

E above lowest polymorph	0.132	eV per atom

---

Record 11
DFT (GGA-PBE) results for a geometry-optimized KMgRu2 structure.

Lattice parameters (Å, degrees): 2.7393 2.7393 9.7817 90.00 90.00 90.00
Element x y z (fractional)
K 0.0000 0.0000 0.0000
Mg 0.0000 0.0000 0.5000
Ru 0.5000 0.5000 0.2881
Ru 0.5000 0.5000 0.7119

E_form	750	meV per atom

---

Record 12
DFT (GGA-PBE) results for a geometry-optimized Ba2LiIn structure.

Lattice parameters (Å, degrees): 4.1286 4.1286 9.4812 90.00 90.00 90.00
Element x y z (fractional)
Ba 0.0000 0.0000 0.0000
Ba 0.5000 0.5000 0.3835
Li 0.5000 0.5000 0.7450
In 0.0000 0.0000 0.6233

E_form	-142	meV per atom